No. 1
This record from the Alexandria database describes a relaxed structure of SrPuSe2O8. The functional is PBE.

Cell lengths 6.204, 6.204, 6.858 Å; angles 90.00, 90.00, 120.00 degrees
Site moments in Bohr magnetons follow the coordinates.
Sites, in units of the cell vectors:
1 Pu 0.000 0.000 0.500  2.58
2 O 0.333 0.667 0.957  -0.02
3 O 0.880 0.703 0.308  -0.09
4 Se 0.667 0.333 0.283  0.01
5 O 0.703 0.822 0.692  -0.09
6 Se 0.333 0.667 0.717  0.01
7 O 0.822 0.120 0.308  -0.09
8 O 0.178 0.880 0.692  -0.09
9 Sr 0.000 0.000 0.000  0.00
10 O 0.667 0.333 0.043  -0.02
11 O 0.120 0.297 0.692  -0.09
12 O 0.297 0.178 0.308  -0.09

Calculated values
Its space-group type is No. 147. As for the total magnetic moment: 2.000 μB per formula unit. The density comes out at 4.49 g/cm3. For the total energy, the calculation gives -81.645 eV/cell. The uncorrected formation energy comes out at -1583 meV per atom.



No. 2
This record from the Alexandria database describes a relaxed structure of PtS2N. The functional is PBE.

Cell lengths 5.890, 5.890, 5.890 Å; angles 38.20, 38.20, 38.20 degrees
Sites, in units of the cell vectors:
1 S 0.096 0.096 0.096
2 S 0.904 0.904 0.904
3 Pt 0.500 0.500 0.500
4 N 0.000 0.000 0.000

Calculated values
Its space-group type is No. 166. As for the total magnetic moment: 0.000 μB per formula unit. The density comes out at 6.47 g/cm3. For the total energy, the calculation gives -21.170 eV/cell. The uncorrected formation energy comes out at 363 meV per atom.



No. 3
This record from the Alexandria database describes a relaxed structure of Ho4Hf. The functional is PBE.

Cell lengths 5.540, 5.540, 5.540 Å; angles 90.00, 90.00, 90.00 degrees
Sites, in units of the cell vectors:
1 Ho 0.500 0.000 0.500
2 Ho 0.000 0.500 0.500
3 Ho 0.500 0.500 0.000
4 Hf 0.500 0.500 0.500
5 Ho 0.000 0.000 0.000

Calculated values
Its space-group type is No. 221. As for the total magnetic moment: 0.000 μB per formula unit. The density comes out at 8.19 g/cm3. For the total energy, the calculation gives -25.098 eV/cell. Its formation energy is 0.63 eV per atom.



No. 4
This record from the Alexandria database describes a relaxed structure of Pr7Nd16Y6. The functional is PBE.

Cell lengths 11.456, 11.456, 11.456 Å; angles 60.00, 60.00, 60.00 degrees
Sites, in units of the cell vectors:
1 Y 0.733 0.733 0.267
2 Nd 0.875 0.875 0.875
3 Y 0.733 0.267 0.267
4 Nd 0.376 0.875 0.875
5 Nd 0.125 0.624 0.125
6 Nd 0.652 0.652 0.652
7 Nd 0.624 0.125 0.125
8 Pr 0.500 0.500 0.000
9 Nd 0.956 0.348 0.348
10 Y 0.267 0.267 0.733
11 Pr 0.500 0.000 0.500
12 Nd 0.875 0.376 0.875
13 Nd 0.348 0.956 0.348
14 Pr 0.000 0.000 0.000
15 Y 0.733 0.267 0.733
16 Y 0.267 0.733 0.733
17 Nd 0.652 0.652 0.044
18 Nd 0.348 0.348 0.956
19 Pr 0.000 0.500 0.000
20 Pr 0.000 0.500 0.500
21 Pr 0.500 0.000 0.000
22 Nd 0.125 0.125 0.624
23 Pr 0.000 0.000 0.500
24 Nd 0.875 0.875 0.376
25 Nd 0.652 0.044 0.652
26 Nd 0.044 0.652 0.652
27 Y 0.267 0.733 0.267
28 Nd 0.348 0.348 0.348
29 Nd 0.125 0.125 0.125

Calculated values
Its space-group type is No. 225. As for the total magnetic moment: 0.000 μB per formula unit. The density comes out at 5.98 g/cm3. For the total energy, the calculation gives -142.227 eV/cell. Its formation energy is 0.22 eV per atom.



No. 5
This record from the Alexandria database describes a relaxed structure of LiHo2Ta2O8. The functional is PBE.

Cell lengths 6.576, 6.576, 5.169 Å; angles 71.06, 71.06, 117.06 degrees
Site moments in Bohr magnetons follow the coordinates.
Sites, in units of the cell vectors:
1 O 0.794 0.731 0.982  0.01
2 O 0.202 0.271 0.514  0.01
3 Ho 0.364 0.636 0.000  0.02
4 Ta 0.916 0.084 0.000  0.20
5 O 0.067 0.643 0.377  0.01
6 O 0.729 0.798 0.486  0.01
7 O 0.357 0.933 0.623  0.01
8 Li 0.870 0.130 0.500  0.00
9 Ho 0.624 0.376 0.500  0.04
10 O 0.933 0.344 0.113  0.00
11 O 0.269 0.206 0.018  0.01
12 O 0.656 0.067 0.887  0.00
13 Ta 0.106 0.894 0.500  0.46

Calculated values
Its energy above the most stable polymorph in this dataset is 33 meV per atom. Its space-group type is No. 5. As for the total magnetic moment: 1.006 μB per formula unit. The density comes out at 8.81 g/cm3. For the total energy, the calculation gives -112.257 eV/cell. The uncorrected formation energy comes out at -2909 meV per atom.



No. 6
This record from the Alexandria database describes a relaxed structure of Lu2HgPd. The functional is PBE.

Cell lengths 5.009, 5.009, 5.009 Å; angles 60.00, 60.00, 60.00 degrees
Sites, in units of the cell vectors:
1 Hg 0.500 0.500 0.500
2 Lu 0.250 0.250 0.250
3 Pd 0.000 0.000 0.000
4 Lu 0.750 0.750 0.750

Calculated values
Its energy above the most stable polymorph in this dataset is 32 meV per atom. Its space-group type is No. 225. As for the total magnetic moment: 0.000 μB per formula unit. The density comes out at 12.27 g/cm3. For the total energy, the calculation gives -17.285 eV/cell. Its formation energy is -0.69 eV per atom.



No. 7
This record from the Alexandria database describes a relaxed structure of MgTi2TlRu. The functional is PBE.

Cell lengths 4.681, 5.082, 4.681 Å; angles 90.00, 90.00, 90.00 degrees
Sites, in units of the cell vectors:
1 Tl 0.500 0.500 0.500
2 Ti 0.000 0.000 0.500
3 Ti 0.500 0.000 0.000
4 Mg 0.000 0.500 0.000
5 Ru 0.000 0.000 0.000

Calculated values
Its space-group type is No. 123. As for the total magnetic moment: 0.000 μB per formula unit. The density comes out at 6.34 g/cm3. For the total energy, the calculation gives -27.564 eV/cell. Its formation energy is 0.29 eV per atom.



No. 8
This record from the Alexandria database describes a relaxed structure of Ca2Be2W. The functional is PBE.

Cell lengths 3.736, 3.736, 6.612 Å; angles 73.59, 73.59, 90.00 degrees
Sites, in units of the cell vectors:
1 Ca 0.250 0.750 0.500
2 W 0.000 0.000 0.000
3 Ca 0.750 0.250 0.500
4 Be 0.578 0.578 0.844
5 Be 0.422 0.422 0.156

Calculated values
Its energy above the most stable polymorph in this dataset is 460 meV per atom. Its space-group type is No. 139. As for the total magnetic moment: 0.000 μB per formula unit. The density comes out at 5.53 g/cm3. For the total energy, the calculation gives -18.616 eV/cell. Its formation energy is 1.16 eV per atom.



No. 9
This record from the Alexandria database describes a relaxed structure of MgTa3. The functional is PBE.

Cell lengths 2.792, 4.607, 5.857 Å; angles 90.00, 90.00, 90.00 degrees
Sites, in units of the cell vectors:
1 Ta 0.500 0.500 0.740
2 Ta 0.500 0.500 0.260
3 Mg 0.000 0.000 0.000
4 Ta 0.000 0.000 0.500

Calculated values
Its energy above the most stable polymorph in this dataset is 144 meV per atom. Its space-group type is No. 47. As for the total magnetic moment: 0.000 μB per formula unit. The density comes out at 12.50 g/cm3. For the total energy, the calculation gives -36.032 eV/cell. Its formation energy is 0.28 eV per atom.



No. 10
This record from the Alexandria database describes a relaxed structure of BePb2. The functional is PBE.

Cell lengths 8.512, 8.512, 5.269 Å; angles 90.00, 90.00, 156.72 degrees
Sites, in units of the cell vectors:
1 Pb 0.571 0.429 0.750
2 Pb 0.691 0.309 0.250
3 Pb 0.309 0.691 0.750
4 Pb 0.429 0.571 0.250
5 Be 0.944 0.056 0.750
6 Be 0.056 0.944 0.250

Calculated values
Its energy above the most stable polymorph in this dataset is 188 meV per atom. Its space-group type is No. 63. As for the total magnetic moment: 0.000 μB per formula unit. The density comes out at 9.32 g/cm3. For the total energy, the calculation gives -19.428 eV/cell. Its formation energy is 0.48 eV per atom.



No. 11
This record from the Alexandria database describes a relaxed structure of NaAgCl3. The functional is PBE.

Cell lengths 5.078, 5.078, 5.078 Å; angles 90.00, 90.00, 90.00 degrees
Sites, in units of the cell vectors:
1 Cl 0.500 0.000 0.000
2 Cl 0.000 0.000 0.500
3 Na 0.500 0.500 0.500
4 Cl 0.000 0.500 0.000
5 Ag 0.000 0.000 0.000

Calculated values
Its energy above the most stable polymorph in this dataset is 83 meV per atom. Its space-group type is No. 221. As for the total magnetic moment: 0.000 μB per formula unit. The density comes out at 3.01 g/cm3. For the total energy, the calculation gives -13.906 eV/cell. The uncorrected formation energy comes out at -839 meV per atom.